Here is a relaxed structure of RbPm4I8 from Alexandria via LeMat-Bulk. Energies are from PBE.

Values from the calculation:
Total magnetic moment ... 0.005 μB per formula unit
E_form (uncorrected) ... -1.245 eV/atom
ρ ... 4.75 Mg/m³
Total energy ... -3.73 eV/atom

Lattice parameters (Å, degrees): 8.2308 8.2308 30.0543 90.00 90.00 120.00
Space group R-3m (No. 166, hexagonal axes)
One atom of each set of equivalent atoms:
1 Rb 0.0000 0.0000 0.0000 [3 per cell]
2 Pm 0.0000 0.0000 0.5000 [3 per cell]
3 Pm 0.0000 0.5000 0.5000 [9 per cell]
4 I 0.0000 0.0000 0.2373 [6 per cell]
5 I 0.0018 0.5009 0.2380 [18 per cell]